(1)
An optimized crystal structure of La2YZn, computed with PBE-GGA.

Lattice parameters (Å, degrees): 3.6960 5.5268 5.7338 90.00 90.00 90.00
Atoms (fractional coordinates):
La 0.0000 0.0000 0.0000
La 0.5000 0.5000 0.0000
Y 0.0000 0.5000 0.5000
Zn 0.5000 0.0000 0.5000

Results
- Total moment: 0.0 Bohr magnetons per cell
- Energy of formation from the pure elements: 0.006 eV/atom
- ΔE to the lowest computed polymorph: 166 meV/atom

(2)
An optimized crystal structure of Ni2Mo2Rh, computed with PBE-GGA.

Lattice parameters (Å, degrees): 6.9522 6.9522 2.8192 90.00 90.00 90.00
Atoms (fractional coordinates):
Ni 0.1223 0.3777 0.0000
Ni 0.3777 0.8777 0.0000
Ni 0.6223 0.1223 0.0000
Ni 0.8777 0.6223 0.0000
Mo 0.1749 0.6749 0.5000
Mo 0.3251 0.1749 0.5000
Mo 0.6749 0.8251 0.5000
Mo 0.8251 0.3251 0.5000
Rh 0.0000 0.0000 0.0000
Rh 0.5000 0.5000 0.0000

Results
- Total moment: 0.0 Bohr magnetons per cell
- Energy of formation from the pure elements: 0.051 eV/atom
- ΔE to the lowest computed polymorph: 0 meV/atom

(3)
An optimized crystal structure of CoMoRhAu2, computed with PBE-GGA.

Lattice parameters (Å, degrees): 4.6979 4.6979 4.2166 90.00 90.00 90.00
Atoms (fractional coordinates):
Co 0.0000 0.0000 0.0000
Mo 0.0000 0.0000 0.5000
Rh 0.5000 0.5000 0.5000
Au 0.0000 0.5000 0.0000
Au 0.5000 0.0000 0.0000

Results
- Total moment: 0.8 Bohr magnetons per cell
- Energy of formation from the pure elements: 1.132 eV/atom